Compound: TiCrIrS
Source: Alexandria
Functional: PBE
Structure: relaxed

As for the total energy: -8.0682 eV per atom. The calculation puts the energy above the most stable polymorph in this dataset at 0.1325 eV/atom.

The space group is I4mm (No. 107) and the conventional cell measures 2.9982, 2.9982 and 13.0372 Å, with angles of 90.00, 90.00 and 90.00 degrees. The distinct sites, in fractional coordinates, are Ti at (0.0000, 0.0000, 0.0000), Cr at (0.0000, 0.0000, 0.3718), Ir at (0.0000, 0.0000, 0.6095) and S at (0.0000, 0.0000, 0.7915).

Compound: TiCrIrS
Source: Alexandria
Functional: PBE
Structure: relaxed

As for the total energy: -8.1316 eV per atom. The calculation puts the energy above the most stable polymorph in this dataset at 0.0690 eV/atom.

The space group is P3m1 (No. 156) and the conventional cell measures 2.9311, 2.9311 and 7.3836 Å, with angles of 90.00, 90.00 and 120.00 degrees. The distinct sites, in fractional coordinates, are Ti at (0.0000, 0.0000, 0.0000), Cr at (0.0000, 0.0000, 0.4354), Ir at (0.3333, 0.6667, 0.7129) and S at (0.3333, 0.6667, 0.2382).

Compound: TiCrIrS
Source: Alexandria
Functional: PBE
Structure: relaxed

As for the total energy: -8.0977 eV per atom. The calculation puts the energy above the most stable polymorph in this dataset at 0.1029 eV/atom.

The space group is Pm (No. 6) and the conventional cell measures 4.2871, 2.8430 and 4.6850 Å, with angles of 90.00, 104.16 and 90.00 degrees. The distinct sites, in fractional coordinates, are Ti at (0.0000, 0.0000, 0.0000), Cr at (0.4079, 0.0000, 0.6211), Ir at (0.8680, 0.5000, 0.4710) and S at (0.4752, 0.5000, 0.0011).

Compound: TiCrIrS
Source: Alexandria
Functional: PBE
Structure: relaxed

As for the total energy: -8.2006 eV per atom. The calculation puts the energy above the most stable polymorph in this dataset at 0.0000 eV/atom.

The space group is Amm2 (No. 38) and the conventional cell measures 2.9601, 2.9310 and 12.8093 Å, with angles of 90.00, 90.00 and 90.00 degrees. The distinct sites, in fractional coordinates, are Ti at (0.0000, 0.0000, 0.0000), Cr at (0.0000, 0.0000, 0.7224), Ir at (0.5000, 0.0000, 0.3764) and S at (0.5000, 0.0000, 0.1498).

Compound: TiCrIrS
Source: Alexandria
Functional: PBE
Structure: relaxed

As for the total energy: -8.0816 eV per atom. The calculation puts the energy above the most stable polymorph in this dataset at 0.1191 eV/atom.

The space group is R3m (No. 160, hexagonal axes) and the conventional cell measures 2.9172, 2.9172 and 22.4208 Å, with angles of 90.00, 90.00 and 120.00 degrees. The distinct sites, in fractional coordinates, are Ti at (0.0000, 0.0000, 0.0000), Cr at (0.0000, 0.0000, 0.8559), Ir at (0.0000, 0.0000, 0.4270) and S at (0.0000, 0.0000, 0.2541).

Compound: TiCrIrS
Source: Alexandria
Functional: PBE
Structure: relaxed

As for the total energy: -8.0507 eV per atom. The calculation puts the energy above the most stable polymorph in this dataset at 0.1500 eV/atom.

The space group is Amm2 (No. 38) and the conventional cell measures 3.4825, 3.0554 and 10.9852 Å, with angles of 90.00, 90.00 and 90.00 degrees. The distinct sites, in fractional coordinates, are Ti at (0.0000, 0.0000, 0.0000), Cr at (0.5000, 0.0000, 0.6580), Ir at (0.5000, 0.0000, 0.3933) and S at (0.0000, 0.0000, 0.2189).

Energy relative to the elements, uncorrected values (in kJ per mole of atoms) by entry order: -42.6 -48.7 -45.4 -55.4 -43.9 -40.9.